1.
A geometry-optimized CaCe2DyBi4 structure, computed with GGA-PBE.

Cell: 7.836 4.587 7.965 Å, 90.00 109.62 90.00°
Space group P2/m (No. 10)
Symmetry-distinct sites (fractional):
Ca1 0.000 0.000 0.000 (multiplicity 1)
Ce1 0.500 0.000 0.500 (multiplicity 1)
Ce2 0.500 0.500 0.000 (multiplicity 1)
Dy1 0.000 0.500 0.500 (multiplicity 1)
Bi1 0.248 0.000 0.745 (multiplicity 2)
Bi2 0.253 0.500 0.256 (multiplicity 2)

Values from the calculation:
**Energy relative to the elements**: -0.81 eV per atom
**Total magnetic moment**: 1.0 μB/f.u.
**Density**: 8.12 Mg/m³

2.
A geometry-optimized Ca2CeDyBi4 structure, computed with GGA-PBE.

Cell: 7.896 4.593 7.925 Å, 90.00 109.76 90.00°
Space group P2/m (No. 10)
Symmetry-distinct sites (fractional):
Ca1 0.000 0.000 0.000 (multiplicity 1)
Ca2 0.000 0.500 0.500 (multiplicity 1)
Ce1 0.500 0.000 0.500 (multiplicity 1)
Dy1 0.500 0.500 0.000 (multiplicity 1)
Bi1 0.261 0.000 0.755 (multiplicity 2)
Bi2 0.261 0.500 0.253 (multiplicity 2)

Values from the calculation:
**Energy relative to the elements**: -0.76 eV per atom
**Total magnetic moment**: 0.0 μB/f.u.
**Density**: 7.48 Mg/m³

3.
A geometry-optimized CaCe2ErBi4 structure, computed with GGA-PBE.

Cell: 7.812 4.582 7.958 Å, 90.00 109.64 90.00°
Space group P2/m (No. 10)
Symmetry-distinct sites (fractional):
Ca1 0.000 0.000 0.000 (multiplicity 1)
Ce1 0.500 0.000 0.500 (multiplicity 1)
Ce2 0.500 0.500 0.000 (multiplicity 1)
Er1 0.000 0.500 0.500 (multiplicity 1)
Bi1 0.246 0.000 0.744 (multiplicity 2)
Bi2 0.252 0.500 0.256 (multiplicity 2)

Values from the calculation:
**Energy relative to the elements**: -0.79 eV per atom
**Total magnetic moment**: 1.0 μB/f.u.
**Density**: 8.19 Mg/m³

4.
A geometry-optimized Ca2CeErBi4 structure, computed with GGA-PBE.

Cell: 7.892 4.588 7.898 Å, 90.00 109.77 90.00°
Space group P2/m (No. 10)
Symmetry-distinct sites (fractional):
Ca1 0.000 0.000 0.000 (multiplicity 1)
Ca2 0.500 0.500 0.000 (multiplicity 1)
Ce1 0.000 0.500 0.500 (multiplicity 1)
Er1 0.500 0.000 0.500 (multiplicity 1)
Bi1 0.248 0.000 0.738 (multiplicity 2)
Bi2 0.257 0.500 0.263 (multiplicity 2)

Values from the calculation:
**Energy relative to the elements**: -0.74 eV per atom
**Total magnetic moment**: 0.0 μB/f.u.
**Density**: 7.55 Mg/m³

5.
A geometry-optimized CaLa2CeBi4 structure, computed with GGA-PBE.

Cell: 8.046 4.674 8.047 Å, 90.00 109.46 90.00°
Space group P2/m (No. 10)
Symmetry-distinct sites (fractional):
Ca1 0.000 0.000 0.000 (multiplicity 1)
La1 0.500 0.000 0.500 (multiplicity 1)
La2 0.500 0.500 0.000 (multiplicity 1)
Ce1 0.000 0.500 0.500 (multiplicity 1)
Bi1 0.241 0.000 0.743 (multiplicity 2)
Bi2 0.244 0.500 0.253 (multiplicity 2)

Values from the calculation:
**Energy relative to the elements**: -0.90 eV per atom
**Total magnetic moment**: 0.2 μB/f.u.
**Density**: 7.53 Mg/m³

6.
A geometry-optimized CaLaCe2Bi4 structure, computed with GGA-PBE.

Cell: 8.013 4.645 8.021 Å, 90.00 109.49 90.00°
Space group P2/m (No. 10)
Symmetry-distinct sites (fractional):
Ca1 0.000 0.000 0.000 (multiplicity 1)
La1 0.500 0.500 0.000 (multiplicity 1)
Ce1 0.000 0.500 0.500 (multiplicity 1)
Ce2 0.500 0.000 0.500 (multiplicity 1)
Bi1 0.247 0.000 0.742 (multiplicity 2)
Bi2 0.253 0.500 0.259 (multiplicity 2)

Values from the calculation:
**Energy relative to the elements**: -0.86 eV per atom
**Total magnetic moment**: 1.0 μB/f.u.
**Density**: 7.64 Mg/m³

7.
A geometry-optimized Ca2Ce4Bi3N2 structure, computed with GGA-PBE.

Cell: 4.777 4.777 26.507 Å, 90.00 90.00 90.00°
Space group I4/mmm (No. 139)
Symmetry-distinct sites (fractional):
Ca1 0.000 0.000 0.195 (multiplicity 4)
Ce1 0.000 0.500 0.087 (multiplicity 8)
Bi1 0.000 0.000 0.320 (multiplicity 4)
Bi2 0.000 0.000 0.500 (multiplicity 2)
N1 0.000 0.000 0.102 (multiplicity 4)

Values from the calculation:
**Total magnetic moment**: 3.0 μB/f.u.
**Density**: 7.11 Mg/m³

8.
A geometry-optimized NaCaCeBiO6 structure, computed with GGA-PBE.

Cell: 5.905 5.905 8.624 Å, 90.00 90.00 90.00°
Space group P-4n2 (No. 118)
Symmetry-distinct sites (fractional):
Na1 0.000 0.500 0.250 (multiplicity 2)
Ca1 0.000 0.500 0.750 (multiplicity 2)
Ce1 0.000 0.000 0.000 (multiplicity 2)
Bi1 0.000 0.000 0.500 (multiplicity 2)
O1 0.000 0.000 0.254 (multiplicity 4)
O2 0.167 0.320 0.516 (multiplicity 8)

Values from the calculation:
**Total magnetic moment**: 0.0 μB/f.u.
**Density**: 5.61 Mg/m³
**Excess energy over the best structure of this formula in the dataset**: 0.0 kJ per mole of atoms

9.
A geometry-optimized NaCaCeBiO6 structure, computed with GGA-PBE.

Cell: 8.598 8.598 8.598 Å, 90.00 90.00 90.00°
Space group F-43m (No. 216)
Symmetry-distinct sites (fractional):
Na1 0.000 0.000 0.000 (multiplicity 4)
Ca1 0.000 0.000 0.500 (multiplicity 4)
Ce1 0.250 0.250 0.750 (multiplicity 4)
Bi1 0.250 0.250 0.250 (multiplicity 4)
O1 0.005 0.250 0.250 (multiplicity 24)

Values from the calculation:
**Total magnetic moment**: 0.0 μB/f.u.
**Density**: 5.31 Mg/m³
**Excess energy over the best structure of this formula in the dataset**: 9.2 kJ per mole of atoms

10.
A geometry-optimized CaCe2NdBi4 structure, computed with GGA-PBE.

Cell: 7.935 4.617 7.998 Å, 90.00 109.57 90.00°
Space group P2/m (No. 10)
Symmetry-distinct sites (fractional):
Ca1 0.000 0.000 0.000 (multiplicity 1)
Ce1 0.500 0.000 0.500 (multiplicity 1)
Ce2 0.500 0.500 0.000 (multiplicity 1)
Nd1 0.000 0.500 0.500 (multiplicity 1)
Bi1 0.255 0.000 0.751 (multiplicity 2)
Bi2 0.257 0.500 0.253 (multiplicity 2)

Values from the calculation:
**Energy relative to the elements**: -0.83 eV per atom
**Total magnetic moment**: 1.0 μB/f.u.
**Density**: 7.82 Mg/m³

11.
A geometry-optimized Ca2Ce4Bi3O2 structure, computed with GGA-PBE.

Cell: 4.788 4.788 26.445 Å, 90.00 90.00 90.00°
Space group I4/mmm (No. 139)
Symmetry-distinct sites (fractional):
Ca1 0.000 0.000 0.195 (multiplicity 4)
Ce1 0.000 0.500 0.086 (multiplicity 8)
Bi1 0.000 0.000 0.320 (multiplicity 4)
Bi2 0.000 0.000 0.500 (multiplicity 2)
O1 0.000 0.000 0.103 (multiplicity 4)

Values from the calculation:
**Total magnetic moment**: 4.5 μB/f.u.
**Density**: 7.12 Mg/m³

12.
A geometry-optimized Ca4Ce2Bi3O2 structure, computed with GGA-PBE.

Cell: 4.787 4.787 25.965 Å, 90.00 90.00 90.00°
Space group I4/mmm (No. 139)
Symmetry-distinct sites (fractional):
Ca1 0.000 0.500 0.084 (multiplicity 8)
Ce1 0.000 0.000 0.191 (multiplicity 4)
Bi1 0.000 0.000 0.322 (multiplicity 4)
Bi2 0.000 0.000 0.500 (multiplicity 2)
O1 0.000 0.000 0.103 (multiplicity 4)

Values from the calculation:
**Total magnetic moment**: 2.7 μB/f.u.
**Density**: 6.14 Mg/m³

13.
A geometry-optimized Ca2CePaBi4 structure, computed with GGA-PBE.

Cell: 7.880 4.604 7.984 Å, 90.00 109.61 90.00°
Space group P2/m (No. 10)
Symmetry-distinct sites (fractional):
Ca1 0.000 0.000 0.000 (multiplicity 1)
Ca2 0.000 0.500 0.500 (multiplicity 1)
Ce1 0.500 0.000 0.500 (multiplicity 1)
Pa1 0.500 0.500 0.000 (multiplicity 1)
Bi1 0.260 0.500 0.245 (multiplicity 2)
Bi2 0.262 0.000 0.761 (multiplicity 2)

Values from the calculation:
**Energy relative to the elements**: -0.64 eV per atom
**Total magnetic moment**: 1.1 μB/f.u.
**Density**: 7.83 Mg/m³

14.
A geometry-optimized Ca3Ce2PaBi6 structure, computed with GGA-PBE.

Cell: 8.012 13.875 7.869 Å, 90.00 109.87 90.00°
Space group C2/m (No. 12)
Symmetry-distinct sites (fractional):
Ca1 0.000 0.000 0.000 (multiplicity 2)
Ca2 0.000 0.330 0.000 (multiplicity 4)
Ce1 0.000 0.166 0.500 (multiplicity 4)
Pa1 0.000 0.500 0.500 (multiplicity 2)
Bi1 0.241 0.338 0.739 (multiplicity 8)
Bi2 0.243 0.500 0.260 (multiplicity 4)

Values from the calculation:
**Energy relative to the elements**: -0.70 eV per atom
**Total magnetic moment**: 1.2 μB/f.u.
**Density**: 7.61 Mg/m³

15.
A geometry-optimized CaCeBiPb structure, computed with GGA-PBE.

Cell: 7.913 7.913 7.913 Å, 90.00 90.00 90.00°
Space group F-43m (No. 216)
Symmetry-distinct sites (fractional):
Ca1 0.000 0.000 0.000 (multiplicity 4)
Ce1 0.000 0.000 0.500 (multiplicity 4)
Bi1 0.250 0.250 0.250 (multiplicity 4)
Pb1 0.250 0.250 0.750 (multiplicity 4)

Values from the calculation:
**Energy relative to the elements**: -0.50 eV per atom
**Total magnetic moment**: 1.0 μB/f.u.
**Density**: 7.99 Mg/m³

16.
A geometry-optimized CaCeBiPd structure, computed with GGA-PBE.

Cell: 7.556 7.556 7.556 Å, 90.00 90.00 90.00°
Space group F-43m (No. 216)
Symmetry-distinct sites (fractional):
Ca1 0.000 0.000 0.000 (multiplicity 4)
Ce1 0.000 0.000 0.500 (multiplicity 4)
Bi1 0.250 0.250 0.750 (multiplicity 4)
Pd1 0.250 0.250 0.250 (multiplicity 4)

Values from the calculation:
**Energy relative to the elements**: -0.64 eV per atom
**Total magnetic moment**: 1.1 μB/f.u.
**Density**: 7.63 Mg/m³

17.
A geometry-optimized CaCe2PmBi4 structure, computed with GGA-PBE.

Cell: 7.914 4.610 7.990 Å, 90.00 109.59 90.00°
Space group P2/m (No. 10)
Symmetry-distinct sites (fractional):
Ca1 0.000 0.000 0.000 (multiplicity 1)
Ce1 0.500 0.000 0.500 (multiplicity 1)
Ce2 0.500 0.500 0.000 (multiplicity 1)
Pm1 0.000 0.500 0.500 (multiplicity 1)
Bi1 0.253 0.000 0.750 (multiplicity 2)
Bi2 0.256 0.500 0.254 (multiplicity 2)

Values from the calculation:
**Energy relative to the elements**: -0.83 eV per atom
**Total magnetic moment**: 1.0 μB/f.u.
**Density**: 7.87 Mg/m³

18.
A geometry-optimized CaCe2PrBi4 structure, computed with GGA-PBE.

Cell: 7.960 4.625 8.009 Å, 90.00 109.58 90.00°
Space group P2/m (No. 10)
Symmetry-distinct sites (fractional):
Ca1 0.000 0.000 0.000 (multiplicity 1)
Ce1 0.500 0.000 0.500 (multiplicity 1)
Ce2 0.500 0.500 0.000 (multiplicity 1)
Pr1 0.000 0.500 0.500 (multiplicity 1)
Bi1 0.256 0.000 0.752 (multiplicity 2)
Bi2 0.258 0.500 0.253 (multiplicity 2)

Values from the calculation:
**Energy relative to the elements**: -0.83 eV per atom
**Total magnetic moment**: 1.0 μB/f.u.
**Density**: 7.75 Mg/m³

19.
A geometry-optimized Ca2CePrBi4 structure, computed with GGA-PBE.

Cell: 7.889 4.648 8.072 Å, 90.00 109.98 90.00°
Space group P2/m (No. 10)
Symmetry-distinct sites (fractional):
Ca1 0.000 0.000 0.000 (multiplicity 1)
Ca2 0.000 0.500 0.500 (multiplicity 1)
Ce1 0.500 0.000 0.500 (multiplicity 1)
Pr1 0.500 0.500 0.000 (multiplicity 1)
Bi1 0.254 0.000 0.746 (multiplicity 2)
Bi2 0.259 0.500 0.258 (multiplicity 2)

Values from the calculation:
**Energy relative to the elements**: -0.77 eV per atom
**Total magnetic moment**: 0.0 μB/f.u.
**Density**: 7.15 Mg/m³

20.
A geometry-optimized CaCe2PuBi4 structure, computed with GGA-PBE.

Cell: 7.902 4.608 7.981 Å, 90.00 109.55 90.00°
Space group P2/m (No. 10)
Symmetry-distinct sites (fractional):
Ca1 0.000 0.000 0.000 (multiplicity 1)
Ce1 0.500 0.000 0.500 (multiplicity 1)
Ce2 0.500 0.500 0.000 (multiplicity 1)
Pu1 0.000 0.500 0.500 (multiplicity 1)
Bi1 0.252 0.000 0.748 (multiplicity 2)
Bi2 0.255 0.500 0.255 (multiplicity 2)

Values from the calculation:
**Energy relative to the elements**: -0.67 eV per atom
**Total magnetic moment**: 5.1 μB/f.u.
**Density**: 8.49 Mg/m³

Values for final energy, eV per cell, ordered as above
-40.445 -36.106 -40.308 -35.983 -40.514 -41.162 -133.853 -128.242 -252.689 -40.797 -131.368 -117.625 -40.058 -118.089 -70.090 -78.200 -40.763 -40.827 -36.431 -49.058